1.
A plane-wave DFT calculation with PBE-GGA was carried out for an optimized crystal structure of SrYIn.

Summary:
- E_tot (eV per cell) = -23.1
- space group = Cm
- total magnetic moment (μB/f.u.) = 0.00
- DOS at the Fermi energy (states/eV per atom) = 0.83
- formation energy (eV/atom) = -0.2253

Structure (CIF):
```
data_SrYIn
_chemical_formula_sum 'Sr2 Y2 In2'
_space_group_name_H-M_alt 'P 1'
_space_group_IT_number 1
_cell_length_a 9.418
_cell_length_b 5.711
_cell_length_c 3.817
_cell_angle_alpha 89.99
_cell_angle_beta 101.68
_cell_angle_gamma 87.20
loop_
_space_group_symop_operation_xyz
'x,y,z'
loop_
_atom_site_label
_atom_site_fract_x
_atom_site_fract_y
_atom_site_fract_z
Y1 0.106 0.142 0.051
Y2 0.356 0.614 0.176
Sr1 0.692 0.177 0.344
Sr2 0.967 0.655 0.481
In1 0.637 0.683 0.816
In2 0.377 0.095 0.687
```

***

2.
A plane-wave DFT calculation with PBE-GGA was carried out for an optimized crystal structure of Sr2YIn2.

Summary:
- E_tot (eV per cell) = -31.7
- space group = P4/mbm
- total magnetic moment (μB/f.u.) = 0.45
- DOS at the Fermi energy (states/eV per atom) = 0.70
- formation energy (eV/atom) = -0.1045

Structure (CIF):
```
data_Sr2YIn2
_chemical_formula_sum 'Sr4 Y2 In4'
_space_group_name_H-M_alt 'P 1'
_space_group_IT_number 1
_cell_length_a 9.722
_cell_length_b 9.722
_cell_length_c 3.582
_cell_angle_alpha 90.00
_cell_angle_beta 90.00
_cell_angle_gamma 90.00
loop_
_space_group_symop_operation_xyz
'x,y,z'
loop_
_atom_site_label
_atom_site_fract_x
_atom_site_fract_y
_atom_site_fract_z
Y1 0.000 0.000 0.000
Y2 0.500 0.500 0.000
Sr1 0.373 0.873 0.000
Sr2 0.873 0.627 0.000
Sr3 0.627 0.127 0.000
Sr4 0.127 0.373 0.000
In1 0.173 0.673 0.500
In2 0.673 0.827 0.500
In3 0.827 0.327 0.500
In4 0.327 0.173 0.500
```

***

3.
A plane-wave DFT calculation with PBE-GGA was carried out for an optimized crystal structure of SrY2In.

Summary:
- E_tot (eV per cell) = -17.9
- space group = Pm
- total magnetic moment (μB/f.u.) = 0.00
- DOS at the Fermi energy (states/eV per atom) = 1.01
- formation energy (eV/atom) = -0.1262

Structure (CIF):
```
data_SrY2In
_chemical_formula_sum 'Sr1 Y2 In1'
_space_group_name_H-M_alt 'P 1'
_space_group_IT_number 1
_cell_length_a 4.909
_cell_length_b 3.683
_cell_length_c 8.120
_cell_angle_alpha 63.30
_cell_angle_beta 90.00
_cell_angle_gamma 90.00
loop_
_space_group_symop_operation_xyz
'x,y,z'
loop_
_atom_site_label
_atom_site_fract_x
_atom_site_fract_y
_atom_site_fract_z
In1 0.000 0.523 0.476
Sr1 0.500 0.765 0.733
Y1 0.000 0.968 0.033
Y2 0.500 0.245 0.258
```

***

4.
A plane-wave DFT calculation with PBE-GGA was carried out for an optimized crystal structure of SrYIn.

Summary:
- E_tot (eV per cell) = -11.2
- space group = F-43m
- total magnetic moment (μB/f.u.) = 0.00
- DOS at the Fermi energy (states/eV per atom) = 0.20
- formation energy (eV/atom) = -0.1016

Structure (CIF):
```
data_SrYIn
_chemical_formula_sum 'Sr1 Y1 In1'
_space_group_name_H-M_alt 'P 1'
_space_group_IT_number 1
_cell_length_a 5.448
_cell_length_b 5.448
_cell_length_c 5.448
_cell_angle_alpha 60.00
_cell_angle_beta 60.00
_cell_angle_gamma 60.00
loop_
_space_group_symop_operation_xyz
'x,y,z'
loop_
_atom_site_label
_atom_site_fract_x
_atom_site_fract_y
_atom_site_fract_z
Y1 0.250 0.250 0.250
Sr1 0.750 0.750 0.750
In1 0.000 0.000 0.000
```

***

5.
A plane-wave DFT calculation with PBE-GGA was carried out for an optimized crystal structure of SrYIn.

Summary:
- E_tot (eV per cell) = -23.3
- space group = Cmcm
- total magnetic moment (μB/f.u.) = 0.00
- DOS at the Fermi energy (states/eV per atom) = 1.05
- formation energy (eV/atom) = -0.2605

Structure (CIF):
```
data_SrYIn
_chemical_formula_sum 'Sr2 Y2 In2'
_space_group_name_H-M_alt 'P 1'
_space_group_IT_number 1
_cell_length_a 7.191
_cell_length_b 6.512
_cell_length_c 4.889
_cell_angle_alpha 67.97
_cell_angle_beta 90.00
_cell_angle_gamma 89.99
loop_
_space_group_symop_operation_xyz
'x,y,z'
loop_
_atom_site_label
_atom_site_fract_x
_atom_site_fract_y
_atom_site_fract_z
Y1 0.939 0.039 0.410
Y2 0.439 0.039 0.410
Sr1 0.689 0.630 0.114
Sr2 0.189 0.447 0.705
In1 0.689 0.229 0.814
In2 0.189 0.848 0.005
```

***

6.
A plane-wave DFT calculation with PBE-GGA was carried out for an optimized crystal structure of SrYIn2.

Summary:
- E_tot (eV per cell) = -14.6
- space group = I-4m2
- total magnetic moment (μB/f.u.) = 0.00
- DOS at the Fermi energy (states/eV per atom) = 1.23
- formation energy (eV/atom) = -0.2358

Structure (CIF):
```
data_SrYIn2
_chemical_formula_sum 'Sr1 Y1 In2'
_space_group_name_H-M_alt 'P 1'
_space_group_IT_number 1
_cell_length_a 6.416
_cell_length_b 6.416
_cell_length_c 6.416
_cell_angle_alpha 136.95
_cell_angle_beta 136.95
_cell_angle_gamma 62.51
loop_
_space_group_symop_operation_xyz
'x,y,z'
loop_
_atom_site_label
_atom_site_fract_x
_atom_site_fract_y
_atom_site_fract_z
In1 0.000 0.000 0.000
In2 0.250 0.750 0.500
Sr1 0.500 0.500 0.000
Y1 0.750 0.250 0.500
```

***

7.
A plane-wave DFT calculation with PBE-GGA was carried out for an optimized crystal structure of Sr3YIn.

Summary:
- E_tot (eV per cell) = -10.5
- space group = Pm-3m
- total magnetic moment (μB/f.u.) = 2.12
- DOS at the Fermi energy (states/eV per atom) = 1.06
- formation energy (eV/atom) = 0.7525

Structure (CIF):
```
data_Sr3YIn
_chemical_formula_sum 'Sr3 Y1 In1'
_space_group_name_H-M_alt 'P 1'
_space_group_IT_number 1
_cell_length_a 6.422
_cell_length_b 6.422
_cell_length_c 6.422
_cell_angle_alpha 90.00
_cell_angle_beta 90.00
_cell_angle_gamma 90.00
loop_
_space_group_symop_operation_xyz
'x,y,z'
loop_
_atom_site_label
_atom_site_fract_x
_atom_site_fract_y
_atom_site_fract_z
Y1 0.000 0.000 0.000
Sr1 0.000 0.500 0.000
Sr2 0.000 0.000 0.500
Sr3 0.500 0.000 0.000
In1 0.500 0.500 0.500
```

***

8.
A plane-wave DFT calculation with PBE-GGA was carried out for an optimized crystal structure of SrY2In.

Summary:
- E_tot (eV per cell) = -17.6
- space group = P2/m
- total magnetic moment (μB/f.u.) = 0.00
- DOS at the Fermi energy (states/eV per atom) = 1.28
- formation energy (eV/atom) = -0.0662

Structure (CIF):
```
data_SrY2In
_chemical_formula_sum 'Sr1 Y2 In1'
_space_group_name_H-M_alt 'P 1'
_space_group_IT_number 1
_cell_length_a 5.345
_cell_length_b 3.728
_cell_length_c 7.016
_cell_angle_alpha 74.59
_cell_angle_beta 90.00
_cell_angle_gamma 90.00
loop_
_space_group_symop_operation_xyz
'x,y,z'
loop_
_atom_site_label
_atom_site_fract_x
_atom_site_fract_y
_atom_site_fract_z
In1 0.500 0.250 0.250
Sr1 0.500 0.750 0.750
Y1 0.000 0.077 0.037
Y2 0.000 0.423 0.463
```

***

9.
A plane-wave DFT calculation with PBE-GGA was carried out for an optimized crystal structure of SrY2In.

Summary:
- E_tot (eV per cell) = -17.7
- space group = I-4m2
- total magnetic moment (μB/f.u.) = 0.00
- DOS at the Fermi energy (states/eV per atom) = 1.18
- formation energy (eV/atom) = -0.0817

Structure (CIF):
```
data_SrY2In
_chemical_formula_sum 'Sr1 Y2 In1'
_space_group_name_H-M_alt 'P 1'
_space_group_IT_number 1
_cell_length_a 6.254
_cell_length_b 6.254
_cell_length_c 6.254
_cell_angle_alpha 133.50
_cell_angle_beta 133.50
_cell_angle_gamma 67.88
loop_
_space_group_symop_operation_xyz
'x,y,z'
loop_
_atom_site_label
_atom_site_fract_x
_atom_site_fract_y
_atom_site_fract_z
In1 0.500 0.500 0.000
Sr1 0.750 0.250 0.500
Y1 0.000 0.000 0.000
Y2 0.250 0.750 0.500
```

***

10.
A plane-wave DFT calculation with PBE-GGA was carried out for an optimized crystal structure of SrYIn.

Summary:
- E_tot (eV per cell) = -9.5
- space group = F-43m
- total magnetic moment (μB/f.u.) = 0.00
- DOS at the Fermi energy (states/eV per atom) = 0.57
- formation energy (eV/atom) = 0.4630

Structure (CIF):
```
data_SrYIn
_chemical_formula_sum 'Sr1 Y1 In1'
_space_group_name_H-M_alt 'P 1'
_space_group_IT_number 1
_cell_length_a 5.371
_cell_length_b 5.371
_cell_length_c 5.371
_cell_angle_alpha 60.00
_cell_angle_beta 60.00
_cell_angle_gamma 60.00
loop_
_space_group_symop_operation_xyz
'x,y,z'
loop_
_atom_site_label
_atom_site_fract_x
_atom_site_fract_y
_atom_site_fract_z
In1 0.500 0.500 0.500
Sr1 0.750 0.750 0.750
Y1 0.000 0.000 0.000
```

***

11.
A plane-wave DFT calculation with PBE-GGA was carried out for an optimized crystal structure of SrY2In2.

Summary:
- E_tot (eV per cell) = -43.6
- space group = P4/mbm
- total magnetic moment (μB/f.u.) = 0.00
- DOS at the Fermi energy (states/eV per atom) = 0.88
- formation energy (eV/atom) = -0.3393

Structure (CIF):
```
data_SrY2In2
_chemical_formula_sum 'Sr2 Y4 In4'
_space_group_name_H-M_alt 'P 1'
_space_group_IT_number 1
_cell_length_a 8.924
_cell_length_b 8.924
_cell_length_c 3.886
_cell_angle_alpha 90.00
_cell_angle_beta 90.00
_cell_angle_gamma 90.00
loop_
_space_group_symop_operation_xyz
'x,y,z'
loop_
_atom_site_label
_atom_site_fract_x
_atom_site_fract_y
_atom_site_fract_z
Y1 0.169 0.669 0.500
Y2 0.669 0.831 0.500
Y3 0.831 0.331 0.500
Y4 0.331 0.169 0.500
Sr1 0.000 0.000 0.000
Sr2 0.500 0.500 0.000
In1 0.372 0.872 0.000
In2 0.872 0.628 0.000
In3 0.628 0.128 0.000
In4 0.128 0.372 0.000
```

***

12.
A plane-wave DFT calculation with PBE-GGA was carried out for an optimized crystal structure of SrYIn.

Summary:
- E_tot (eV per cell) = -23.5
- space group = Ima2
- total magnetic moment (μB/f.u.) = 0.00
- DOS at the Fermi energy (states/eV per atom) = 0.76
- formation energy (eV/atom) = -0.2861

Structure (CIF):
```
data_SrYIn
_chemical_formula_sum 'Sr2 Y2 In2'
_space_group_name_H-M_alt 'P 1'
_space_group_IT_number 1
_cell_length_a 6.520
_cell_length_b 6.689
_cell_length_c 6.520
_cell_angle_alpha 120.86
_cell_angle_beta 95.07
_cell_angle_gamma 59.14
loop_
_space_group_symop_operation_xyz
'x,y,z'
loop_
_atom_site_label
_atom_site_fract_x
_atom_site_fract_y
_atom_site_fract_z
Y1 0.905 0.891 0.604
Y2 0.906 0.391 0.605
Sr1 0.521 0.141 0.220
Sr2 0.290 0.641 0.989
In1 0.405 0.890 0.605
In2 0.905 0.390 0.105
```

***

Look up the E_tot of the second one. -31.7 eV per cell

***

Repeat the ninth record exactly.
A plane-wave DFT calculation with PBE-GGA was carried out for an optimized crystal structure of SrY2In.

Summary:
- E_tot (eV per cell) = -17.7
- space group = I-4m2
- total magnetic moment (μB/f.u.) = 0.00
- DOS at the Fermi energy (states/eV per atom) = 1.18
- formation energy (eV/atom) = -0.0817

Structure (CIF):
```
data_SrY2In
_chemical_formula_sum 'Sr1 Y2 In1'
_space_group_name_H-M_alt 'P 1'
_space_group_IT_number 1
_cell_length_a 6.254
_cell_length_b 6.254
_cell_length_c 6.254
_cell_angle_alpha 133.50
_cell_angle_beta 133.50
_cell_angle_gamma 67.88
loop_
_space_group_symop_operation_xyz
'x,y,z'
loop_
_atom_site_label
_atom_site_fract_x
_atom_site_fract_y
_atom_site_fract_z
In1 0.500 0.500 0.000
Sr1 0.750 0.250 0.500
Y1 0.000 0.000 0.000
Y2 0.250 0.750 0.500
```

***

Which of these has the highest E_tot? number 10